No. 1
Entry from the Open Quantum Materials Database: an optimized crystal structure of Tm2CBrF (PBE-GGA).

a = 3.605 Å, b = 3.605 Å, c = 8.005 Å
α = 90.00°, β = 90.00°, γ = 120.00°
Sites, in units of the cell vectors:
F: 0.667 0.333 0.690
Tm: 0.333 0.667 0.809
Tm: 0.667 0.333 0.136
C: 0.000 0.000 0.981
Br: 0.333 0.667 0.384

Calculated values
Calculated total energy   -31.05 eV per formula unit
Total magnetization   0.004 μB/f.u.
Calculated volume   90.12 Å³ per cell
Crystal system   trigonal

=====

No. 2
Entry from the Open Quantum Materials Database: an optimized crystal structure of FePH12C4Br4 (PBE-GGA).

a = 7.922 Å, b = 7.922 Å, c = 7.922 Å
α = 60.00°, β = 60.00°, γ = 60.00°
Each line ends with the local moment (μB).
Sites, in units of the cell vectors:
H: 0.333 0.965 0.738  0.00
H: 0.738 0.965 0.333  0.00
Br: 0.379 0.864 0.379  0.20
H: 0.965 0.965 0.333  0.00
H: 0.965 0.738 0.333  0.00
P: 0.000 0.000 0.000  0.00
H: 0.965 0.333 0.965  0.00
Br: 0.864 0.379 0.379  0.19
H: 0.333 0.738 0.965  0.00
Fe: 0.500 0.500 0.500  3.68
H: 0.738 0.333 0.965  0.00
C: 0.908 0.908 0.277  0.00
Br: 0.379 0.379 0.379  0.21
H: 0.738 0.965 0.965  0.00
H: 0.333 0.965 0.965  0.00
C: 0.277 0.908 0.908  0.00
Br: 0.379 0.379 0.864  0.21
H: 0.965 0.965 0.738  0.00
H: 0.965 0.738 0.965  0.00
C: 0.908 0.908 0.908  0.00
C: 0.908 0.277 0.908  0.00
H: 0.965 0.333 0.738  0.00

Calculated values
Calculated total energy   -105.50 eV per formula unit
Total magnetization   5.002 μB/f.u.
Calculated volume   351.49 Å³ per cell
Crystal system   cubic

=====

No. 3
Entry from the Open Quantum Materials Database: an optimized crystal structure of GdHoC2Br2 (PBE-GGA).

a = 4.014 Å, b = 4.014 Å, c = 10.982 Å
α = 94.06°, β = 94.06°, γ = 56.43°
Sites, in units of the cell vectors:
Ho: 0.855 0.855 0.368
Br: 0.823 0.823 0.806
C: 0.574 0.574 0.464
Gd: 0.144 0.144 0.633
Br: 0.178 0.178 0.198
C: 0.425 0.425 0.531

Calculated values
Calculated total energy   -37.49 eV per formula unit
Total magnetization   0.002 μB/f.u.
Calculated volume   147.00 Å³ per cell
Crystal system   monoclinic

=====

No. 4
Entry from the Open Quantum Materials Database: an optimized crystal structure of GdHoCBr2 (PBE-GGA).

a = 3.775 Å, b = 3.775 Å, c = 10.582 Å
α = 90.00°, β = 90.00°, γ = 120.00°
Sites, in units of the cell vectors:
Br: 0.333 0.667 0.808
Gd: 0.333 0.667 0.373
C: 0.000 0.000 0.503
Ho: 0.667 0.333 0.628
Br: 0.667 0.333 0.187

Calculated values
Calculated total energy   -28.21 eV per formula unit
Total magnetization   0.016 μB/f.u.
Calculated volume   130.62 Å³ per cell
Crystal system   trigonal

=====

No. 5
Entry from the Open Quantum Materials Database: an optimized crystal structure of Gd2C2IBr (PBE-GGA).

a = 4.111 Å, b = 4.111 Å, c = 10.490 Å
α = 94.22°, β = 94.22°, γ = 56.46°
Sites, in units of the cell vectors:
C: 0.576 0.576 0.972
I: 0.168 0.168 0.662
Gd: 0.854 0.854 0.867
Gd: 0.149 0.149 0.141
Br: 0.826 0.826 0.321
C: 0.427 0.427 0.037

Calculated values
Calculated total energy   -36.77 eV per formula unit
Total magnetization   0.000 μB/f.u.
Calculated volume   147.24 Å³ per cell
Crystal system   monoclinic

=====

No. 6
Entry from the Open Quantum Materials Database: an optimized crystal structure of LaGd3C2Br2 (PBE-GGA).

a = 3.744 Å, b = 3.744 Å, c = 14.662 Å
α = 90.00°, β = 90.00°, γ = 120.00°
Sites, in units of the cell vectors:
Gd: 0.667 0.333 0.904
La: 0.000 0.000 0.090
Br: 0.000 0.000 0.746
Br: 0.667 0.333 0.265
C: 0.333 0.667 0.987
Gd: 0.667 0.333 0.592
C: 0.333 0.667 0.503
Gd: 0.000 0.000 0.414

Calculated values
Calculated total energy   -48.24 eV per formula unit
Total magnetization   0.003 μB/f.u.
Calculated volume   178.02 Å³ per cell
Crystal system   trigonal

=====

No. 7
Entry from the Open Quantum Materials Database: an optimized crystal structure of LaGdCBr (PBE-GGA).

a = 3.777 Å, b = 3.777 Å, c = 15.013 Å
α = 90.00°, β = 90.00°, γ = 120.00°
Sites, in units of the cell vectors:
Br: 0.667 0.333 0.233
C: 0.000 0.000 0.500
La: 0.333 0.667 0.405
Gd: 0.667 0.333 0.913
Br: 0.333 0.667 0.767
La: 0.667 0.333 0.595
Gd: 0.333 0.667 0.087
C: 0.000 0.000 0.000

Calculated values
Calculated total energy   -24.20 eV per formula unit
Total magnetization   0.023 μB/f.u.
Calculated volume   185.44 Å³ per cell
Crystal system   trigonal

=====

No. 8
Entry from the Open Quantum Materials Database: an optimized crystal structure of LaGdCBr (PBE-GGA).

a = 3.784 Å, b = 3.784 Å, c = 14.921 Å
α = 90.00°, β = 90.00°, γ = 120.00°
Sites, in units of the cell vectors:
Br: 0.333 0.667 0.000
La: 0.667 0.333 0.164
Br: 0.667 0.333 0.500
C: 0.000 0.000 0.266
La: 0.667 0.333 0.836
C: 0.000 0.000 0.734
Gd: 0.333 0.667 0.652
Gd: 0.333 0.667 0.348

Calculated values
Calculated total energy   -24.19 eV per formula unit
Total magnetization   0.003 μB/f.u.
Calculated volume   185.04 Å³ per cell
Crystal system   hexagonal

=====

No. 9
Entry from the Open Quantum Materials Database: an optimized crystal structure of NdGdCBr (PBE-GGA).

a = 3.762 Å, b = 3.762 Å, c = 14.650 Å
α = 90.00°, β = 90.00°, γ = 120.00°
Sites, in units of the cell vectors:
C: 0.000 0.000 0.500
Br: 0.333 0.667 0.759
Gd: 0.333 0.667 0.089
C: 0.000 0.000 0.000
Gd: 0.667 0.333 0.911
Br: 0.667 0.333 0.241
Nd: 0.667 0.333 0.594
Nd: 0.333 0.667 0.406

Calculated values
Calculated total energy   -24.01 eV per formula unit
Total magnetization   0.003 μB/f.u.
Calculated volume   179.56 Å³ per cell
Crystal system   trigonal

=====

No. 10
Entry from the Open Quantum Materials Database: an optimized crystal structure of NdGd3C2Br2 (PBE-GGA).

a = 3.741 Å, b = 3.741 Å, c = 14.501 Å
α = 90.00°, β = 90.00°, γ = 120.00°
Sites, in units of the cell vectors:
C: 0.333 0.667 0.502
Gd: 0.667 0.333 0.906
Gd: 0.667 0.333 0.592
Br: 0.000 0.000 0.747
Gd: 0.000 0.000 0.412
Br: 0.667 0.333 0.258
Nd: 0.000 0.000 0.091
C: 0.333 0.667 0.992

Calculated values
Calculated total energy   -48.05 eV per formula unit
Total magnetization   0.004 μB/f.u.
Calculated volume   175.77 Å³ per cell
Crystal system   trigonal

=====

No. 11
Entry from the Open Quantum Materials Database: an optimized crystal structure of NdGdC2Br2 (PBE-GGA).

a = 4.107 Å, b = 4.107 Å, c = 11.051 Å
α = 98.25°, β = 98.25°, γ = 56.62°
Sites, in units of the cell vectors:
C: 0.913 0.913 0.963
Nd: 0.406 0.406 0.137
C: 0.085 0.085 0.027
Br: 0.791 0.791 0.315
Br: 0.210 0.210 0.693
Gd: 0.596 0.596 0.864

Calculated values
Calculated total energy   -37.58 eV per formula unit
Total magnetization   0.009 μB/f.u.
Calculated volume   153.53 Å³ per cell
Crystal system   monoclinic

=====

No. 12
Entry from the Open Quantum Materials Database: an optimized crystal structure of Nd2Gd2C2Br5 (PBE-GGA).

a = 10.601 Å, b = 10.601 Å, c = 10.601 Å
α = 158.78°, β = 134.48°, γ = 50.74°
Sites, in units of the cell vectors:
Gd: 0.850 0.850 0.000
Br: 0.901 0.662 0.240
Nd: 0.203 0.500 0.703
Nd: 0.797 0.500 0.297
Br: 0.422 0.662 0.760
Br: 0.578 0.338 0.240
Br: 0.500 0.000 0.500
C: 0.037 0.037 0.000
Br: 0.099 0.338 0.760
C: 0.963 0.963 0.000
Gd: 0.150 0.150 0.000

Calculated values
Calculated total energy   -60.64 eV per formula unit
Total magnetization   0.002 μB/f.u.
Calculated volume   306.69 Å³ per cell
Crystal system   orthorhombic

=====

No. 13
Entry from the Open Quantum Materials Database: an optimized crystal structure of NdGdCBr (PBE-GGA).

a = 3.763 Å, b = 3.763 Å, c = 14.624 Å
α = 90.00°, β = 90.00°, γ = 120.00°
Sites, in units of the cell vectors:
Gd: 0.667 0.333 0.346
Gd: 0.667 0.333 0.654
C: 0.333 0.667 0.739
Nd: 0.000 0.000 0.837
Nd: 0.000 0.000 0.163
Br: 0.000 0.000 0.500
Br: 0.667 0.333 0.000
C: 0.333 0.667 0.261

Calculated values
Calculated total energy   -24.01 eV per formula unit
Total magnetization   0.005 μB/f.u.
Calculated volume   179.32 Å³ per cell
Crystal system   hexagonal

=====

No. 14
Entry from the Open Quantum Materials Database: an optimized crystal structure of Gd4C2BrO (PBE-GGA).

a = 3.613 Å, b = 3.613 Å, c = 13.233 Å
α = 90.00°, β = 90.00°, γ = 120.00°
Sites, in units of the cell vectors:
Gd: 0.333 0.667 0.824
Br: 0.000 0.000 0.000
C: 0.667 0.333 0.271
Gd: 0.000 0.000 0.381
Gd: 0.000 0.000 0.619
C: 0.667 0.333 0.729
Gd: 0.333 0.667 0.176
O: 0.333 0.667 0.500

Calculated values
Calculated total energy   -53.62 eV per formula unit
Total magnetization   0.021 μB/f.u.
Calculated volume   149.61 Å³ per cell
Crystal system   hexagonal

=====

No. 15
Entry from the Open Quantum Materials Database: an optimized crystal structure of Gd4PbC2Br (PBE-GGA).

a = 3.707 Å, b = 3.707 Å, c = 15.293 Å
α = 90.00°, β = 90.00°, γ = 120.00°
Sites, in units of the cell vectors:
C: 0.667 0.333 0.767
Gd: 0.000 0.000 0.674
Gd: 0.333 0.667 0.848
C: 0.667 0.333 0.233
Gd: 0.000 0.000 0.326
Pb: 0.333 0.667 0.500
Gd: 0.333 0.667 0.152
Br: 0.000 0.000 0.000

Calculated values
Calculated total energy   -48.15 eV per formula unit
Total magnetization   0.000 μB/f.u.
Calculated volume   181.99 Å³ per cell
Crystal system   hexagonal

=====

No. 16
Entry from the Open Quantum Materials Database: an optimized crystal structure of Gd2PbC4Br (PBE-GGA).

a = 4.492 Å, b = 4.492 Å, c = 8.273 Å
α = 90.00°, β = 90.00°, γ = 120.00°
Sites, in units of the cell vectors:
Gd: 0.667 0.333 0.702
C: 0.333 0.667 0.422
Pb: 0.333 0.667 0.000
Br: 0.000 0.000 0.500
C: 0.000 0.000 0.081
Gd: 0.667 0.333 0.298
C: 0.000 0.000 0.919
C: 0.333 0.667 0.578

Calculated values
Calculated total energy   -46.27 eV per formula unit
Total magnetization   0.022 μB/f.u.
Calculated volume   144.58 Å³ per cell
Crystal system   hexagonal

=====

No. 17
Entry from the Open Quantum Materials Database: an optimized crystal structure of PrGd3C2Br2 (PBE-GGA).

a = 3.744 Å, b = 3.744 Å, c = 14.552 Å
α = 90.00°, β = 90.00°, γ = 120.00°
Sites, in units of the cell vectors:
Br: 0.667 0.333 0.260
Gd: 0.667 0.333 0.591
Br: 0.000 0.000 0.747
Gd: 0.000 0.000 0.412
Gd: 0.667 0.333 0.906
C: 0.333 0.667 0.990
C: 0.333 0.667 0.502
Pr: 0.000 0.000 0.091

Calculated values
Calculated total energy   -48.02 eV per formula unit
Total magnetization   0.004 μB/f.u.
Calculated volume   176.68 Å³ per cell
Crystal system   trigonal

=====

No. 18
Entry from the Open Quantum Materials Database: an optimized crystal structure of Pr3GdC2Br2 (PBE-GGA).

a = 3.807 Å, b = 3.807 Å, c = 14.928 Å
α = 90.00°, β = 90.00°, γ = 120.00°
Sites, in units of the cell vectors:
C: 0.667 0.333 0.501
Br: 0.000 0.000 0.248
Pr: 0.333 0.667 0.089
Br: 0.333 0.667 0.760
Gd: 0.000 0.000 0.909
C: 0.667 0.333 0.991
Pr: 0.333 0.667 0.408
Pr: 0.000 0.000 0.595

Calculated values
Calculated total energy   -47.89 eV per formula unit
Total magnetization   0.031 μB/f.u.
Calculated volume   187.34 Å³ per cell
Crystal system   trigonal

=====

No. 19
Entry from the Open Quantum Materials Database: an optimized crystal structure of Gd4C2SBr (PBE-GGA).

a = 3.741 Å, b = 3.741 Å, c = 13.698 Å
α = 90.00°, β = 90.00°, γ = 120.00°
Sites, in units of the cell vectors:
S: 0.333 0.667 0.500
Gd: 0.333 0.667 0.832
Gd: 0.000 0.000 0.363
Gd: 0.333 0.667 0.168
C: 0.667 0.333 0.743
Gd: 0.000 0.000 0.637
Br: 0.000 0.000 0.000
C: 0.667 0.333 0.257

Calculated values
Calculated total energy   -51.62 eV per formula unit
Total magnetization   0.002 μB/f.u.
Calculated volume   166.01 Å³ per cell
Crystal system   hexagonal

=====

No. 20
Entry from the Open Quantum Materials Database: an optimized crystal structure of Gd2Sc2CBr5 (PBE-GGA).

a = 10.210 Å, b = 10.210 Å, c = 8.167 Å
α = 101.32°, β = 101.32°, γ = 21.02°
Sites, in units of the cell vectors:
Br: 0.149 0.149 0.843
Br: 0.500 0.500 0.500
Sc: 0.613 0.613 0.056
C: 0.500 0.500 0.000
Gd: 0.000 0.000 0.205
Br: 0.851 0.851 0.157
Br: 0.149 0.149 0.304
Sc: 0.387 0.387 0.944
Br: 0.851 0.851 0.696
Gd: 0.000 0.000 0.795

Calculated values
Calculated total energy   -53.80 eV per formula unit
Total magnetization   0.032 μB/f.u.
Calculated volume   299.20 Å³ per cell
Crystal system   monoclinic